Record 1
Entry from Alexandria: a relaxed Mg3CrH crystal (PBE).

**Distance to the lowest polymorph of the same formula**: 1.073 eV per atom
**Raw total energy**: -2.02 eV per atom

a = 5.186 Å, b = 5.186 Å, c = 5.186 Å
α = 90.00°, β = 90.00°, γ = 90.00°
Element x y z (fractional)
H 0.500 0.500 0.500
Mg 0.500 0.000 0.000
Cr 0.000 0.000 0.000
Mg 0.000 0.000 0.500
Mg 0.000 0.500 0.000

Record 2
Entry from Alexandria: a relaxed RbBe2Cr crystal (PBE).

**Distance to the lowest polymorph of the same formula**: 0.821 eV per atom
**Formation enthalpy at 0 K**: 1.945 eV per atom
**Raw total energy**: -2.57 eV per atom

a = 4.652 Å, b = 4.652 Å, c = 4.652 Å
α = 60.00°, β = 60.00°, γ = 60.00°
Element x y z (fractional)
Be 0.250 0.250 0.250
Rb 0.500 0.500 0.500
Be 0.750 0.750 0.750
Cr 0.000 0.000 0.000

Record 3
Entry from Alexandria: a relaxed CaScTa2 crystal (PBE).

**Distance to the lowest polymorph of the same formula**: 0.222 eV per atom
**Formation enthalpy at 0 K**: 0.485 eV per atom
**Raw total energy**: -7.52 eV per atom

a = 2.976 Å, b = 2.976 Å, c = 9.978 Å
α = 90.00°, β = 90.00°, γ = 89.92°
Element x y z (fractional)
Ta 0.000 0.000 0.971
Ca 0.500 0.500 0.250
Sc 0.500 0.500 0.750
Ta 0.000 0.000 0.529

Record 4
Entry from Alexandria: a relaxed Mn2ZnSe crystal (PBE).

**Distance to the lowest polymorph of the same formula**: 0.000 eV per atom
**Raw total energy**: -5.71 eV per atom
**Raw formation energy**: 0.07 eV/atom

a = 3.422 Å, b = 3.430 Å, c = 6.311 Å
α = 57.16°, β = 90.00°, γ = 90.00°
Element x y z (fractional)
Zn 0.500 0.713 0.787
Mn 0.500 0.237 0.263
Mn 0.000 0.013 0.987
Se 0.000 0.538 0.463

- What is the formula in the fourth record?
  Mn2ZnSe